[1]
PBE Ac3Sb2Br, relaxed; formation energy (no corrections) = -1251 meV/atom
1.0
0.0000 6.6830 14.2217
4.7372 0.0000 14.2217
4.7372 6.6830 0.0000
Ac Sb Br
12 8 4
Cartesian
3.4900 1.5957 8.3676
6.0518 5.0123 10.6663
3.6159 1.5957 12.9649
5.9845 4.9372 15.4785
8.4204 8.3538 17.7771
5.8586 4.9372 20.0758
3.6159 8.4289 8.3676
1.0540 5.0123 10.6663
3.4900 8.4289 12.9649
5.8586 11.7704 15.4785
3.4226 8.3538 17.7771
5.9845 11.7704 20.0758
1.1843 1.6708 1.1397
3.5529 5.0123 3.5962
1.1843 1.6708 5.9712
5.9215 8.3538 10.7070
3.5529 5.0123 17.7364
8.2901 11.6953 22.4722
5.9215 8.3538 24.8472
8.2901 11.6953 27.3037
3.5529 5.0123 8.3136
3.5529 5.0123 13.0189
5.9215 8.3538 15.4244
5.9215 8.3538 20.1298

***

[2]
PBE Sc3SnN, relaxed; formation energy (no corrections) = -1115 meV/atom
1.0
6.2781 0.0000 0.0000
-3.1391 5.4370 0.0000
0.0000 0.0000 5.3899
Sc Sn N
6 2 2
Cartesian
0.0000 1.7426 1.3475
-1.6299 4.5657 1.3475
1.5091 0.8713 4.0425
1.6299 4.5657 1.3475
4.7690 0.8713 4.0425
3.1391 3.6944 4.0425
0.0000 3.6247 4.0425
3.1391 1.8123 1.3475
0.0000 0.0000 0.0000
0.0000 0.0000 2.6950

***

[3]
PBE TiIn2As, relaxed; energy of formation = 0.15 eV per atom
1.0
-3.9951 3.9951 2.8230
3.9951 -3.9951 2.8230
3.9951 3.9951 -2.8230
Ti In As
2 4 2
Cartesian
0.0000 0.0000 0.0000
0.0000 3.9951 1.4115
1.9976 -1.8662 2.1172
2.1289 1.9976 0.7057
1.9976 5.8613 -0.7057
1.8662 1.9976 3.5287
3.9951 0.0000 1.4115
0.0000 0.0000 2.8230

***

[4]
PBE Rb3Tl4Sb2, relaxed; formation energy (no corrections) = -218 meV/atom
1.0
8.0060 -2.3896 0.0000
8.0060 2.3896 0.0000
-4.1324 0.0000 9.5112
Rb Tl Sb
3 4 2
Cartesian
0.0000 0.0000 0.0000
3.6529 0.0000 5.9093
8.2267 0.0000 3.6020
-1.0867 0.0000 6.7549
5.3486 0.0000 0.1383
6.5310 0.0000 9.3729
12.9663 0.0000 2.7564
2.9430 0.0000 2.2565
8.9366 0.0000 7.2547